Ce2IrI2 (PBE, relaxed); crystal system = trigonal; V = 34.43 Å³ per atom; density of states at the Fermi level = 2.4270 states/eV per atom; E_form (uncorrected) = -1.005 eV per atom
1.0
2.075 1.198 11.544
-2.075 1.198 11.544
0.000 -2.396 11.544
Ce Ir I
2 1 2
Cartesian
0.000 0.000 4.211 Ce
0.000 0.000 30.421 Ce
0.000 0.000 17.316 Ir
0.000 0.000 13.488 I
0.000 0.000 21.144 I